First-principles (GGA-PBE) data for a relaxed structure of Ba2SrSi, as listed in Alexandria.

Unit cell a=11.1825 b=11.1825 c=11.1825 alpha=24.91 beta=24.91 gamma=24.91
Closest atoms and distances in Å follow each position.
Fractional positions:
1 Sr 0.7500 0.7500 0.7500  6 Ba 4.62, 6 Sr 4.82
2 Si 0.2500 0.2500 0.2500  6 Ba 3.27
3 Ba 0.5303 0.5303 0.5303  3 Si 3.27
4 Ba 0.9697 0.9697 0.9697  3 Si 3.27

Computed properties:
Symmetry: R-3m, No. 166
Formation energy (no corrections) in eV per atom: 0.003

=====

First-principles (GGA-PBE) data for a relaxed structure of DyScTlCo, as listed in Alexandria.

Unit cell a=3.2740 b=3.2740 c=7.8798 alpha=90.00 beta=90.00 gamma=90.00
Closest atoms and distances in Å follow each position.
Fractional positions:
1 Dy 0.5000 0.5000 0.7712  4 Co 2.90, 1 Sc 3.13
2 Tl 0.0000 0.0000 0.0894  4 Sc 3.22, 4 Tl 3.27, 4 Dy 3.41
3 Co 0.0000 0.0000 0.5500  4 Sc 2.70, 4 Dy 2.90
4 Sc 0.5000 0.5000 0.3742  4 Co 2.70

Computed properties:
Symmetry: P4mm, No. 99
Energy relative to the lowest polymorph listed for this composition in meV/atom: 0

=====

First-principles (GGA-PBE) data for a relaxed structure of Li2ScMo, as listed in Alexandria.

Unit cell a=3.7360 b=3.7360 c=11.0011 alpha=80.22 beta=80.22 gamma=90.00
Closest atoms and distances in Å follow each position.
Fractional positions:
1 Sc 0.2500 0.7500 0.5000  4 Mo 2.64
2 Sc 0.5000 0.5000 0.0000  4 Mo 2.64
3 Li 0.8750 0.8957 0.7500  4 Li 2.53-2.75
4 Li 0.3750 0.3543 0.7500  4 Li 2.53-2.75
5 Li 0.1043 0.6250 0.2500  4 Li 2.53-2.75
6 Li 0.6457 0.1250 0.2500  4 Li 2.53-2.75
7 Mo 0.7500 0.2500 0.5000  4 Sc 2.64, 4 Li 2.96
8 Mo 0.0000 0.0000 0.0000  4 Sc 2.64, 4 Li 2.96

Computed properties:
Symmetry: I-42d, No. 122
Energy relative to the lowest polymorph listed for this composition in meV/atom: 377